[1]
MgFe2O after structural relaxation. Source: Alexandria, functional GGA+U.

Computed properties:
DOS at the Fermi energy   0.510 states/eV/atom
Electronic total energy   -3.824 eV per atom
Crystal system   cubic
Energy above the lowest structure with this stoichiometry   782 meV per atom
Magnetic moment   1.49 μB/atom

a = 6.0790 Å, b = 6.0790 Å, c = 6.0790 Å
α = 90.00°, β = 90.00°, γ = 90.00°
Space group Fm-3m (No. 225)
Symmetry-distinct sites (fractional):
Mg1 0.0000 0.0000 0.0000 x4
Fe1 0.2500 0.2500 0.2500 x8
O1 0.0000 0.0000 0.5000 x4

=====

[2]
MgFe10O16 after structural relaxation. Source: Alexandria, functional GGA+U.

Computed properties:
DOS at the Fermi energy   0.238 states/eV/atom
Electronic total energy   -6.195 eV per atom
Crystal system   trigonal
Magnetic moment   0.81 μB/atom

a = 5.8762 Å, b = 5.8762 Å, c = 28.2974 Å
α = 90.00°, β = 90.00°, γ = 120.00°
Space group R3m (No. 160, hexagonal axes)
Symmetry-distinct sites (fractional):
Mg1 0.0000 0.0000 0.0000 x3
Fe1 0.0000 0.0000 0.3796 x3
Fe2 0.0000 0.0000 0.5000 x3
Fe3 0.0000 0.0000 0.6889 x3
Fe4 0.0000 0.0000 0.8805 x3
Fe5 0.0000 0.5000 0.9394 x9
Fe6 0.1685 0.3371 0.7743 x9
O1 0.0000 0.0000 0.0708 x3
O2 0.0000 0.0000 0.3120 x3
O3 0.0000 0.0000 0.5689 x3
O4 0.0000 0.0000 0.8105 x3
O5 0.0094 0.5047 0.8079 x9
O6 0.0377 0.5188 0.3130 x9
O7 0.1713 0.3425 0.9062 x9
O8 0.1820 0.3640 0.3994 x9

=====

[3]
Mg2FeOsO6 after structural relaxation. Source: Alexandria, functional GGA+U.

Computed properties:
DOS at the Fermi energy   0.117 states/eV/atom
Electronic total energy   -6.722 eV per atom
Crystal system   trigonal
Magnetic moment   0.80 μB/atom

a = 5.1789 Å, b = 5.1789 Å, c = 13.9137 Å
α = 90.00°, β = 90.00°, γ = 120.00°
Space group R3 (No. 146, hexagonal axes)
Symmetry-distinct sites (fractional):
Mg1 0.0000 0.0000 0.0000 x3
Mg2 0.0000 0.0000 0.4962 x3
Fe1 0.0000 0.0000 0.2088 x3
Os1 0.0000 0.0000 0.7014 x3
O1 0.0393 0.3449 0.7738 x9
O2 0.0409 0.6842 0.2754 x9

=====

[4]
MgFePO5 after structural relaxation. Source: Alexandria, functional GGA+U.

Computed properties:
DOS at the Fermi energy   0.000 states/eV/atom
Electronic total energy   -6.834 eV per atom
Crystal system   monoclinic
Magnetic moment   0.62 μB/atom

a = 6.9628 Å, b = 8.1837 Å, c = 7.0248 Å
α = 90.00°, β = 113.70°, γ = 90.00°
Space group Cc (No. 9)
Symmetry-distinct sites (fractional):
Mg1 0.0000 0.1799 0.0000 x4
Fe1 0.0713 0.4888 0.8106 x4
P1 0.0899 0.1502 0.5674 x4
O1 0.0275 0.2438 0.7264 x4
O2 0.0760 0.4087 0.0693 x4
O3 0.1832 0.2736 0.4593 x4
O4 0.2411 0.0067 0.6760 x4
O5 0.3985 0.4429 0.9061 x4

=====

[5]
MgFeP2O after structural relaxation. Source: Alexandria, functional GGA+U.

Computed properties:
DOS at the Fermi energy   1.468 states/eV/atom
Electronic total energy   -3.997 eV per atom
Crystal system   tetragonal
Energy above the lowest structure with this stoichiometry   545 meV per atom
Magnetic moment   0.71 μB/atom

a = 5.0798 Å, b = 5.0798 Å, c = 3.5401 Å
α = 90.00°, β = 90.00°, γ = 90.00°
Space group P4/mmm (No. 123)
Symmetry-distinct sites (fractional):
Mg1 0.0000 0.0000 0.0000 x1
Fe1 0.5000 0.5000 0.5000 x1
P1 0.0000 0.5000 0.0000 x2
O1 0.0000 0.0000 0.5000 x1

=====

[6]
MgFeP2O after structural relaxation. Source: Alexandria, functional GGA+U.

Computed properties:
DOS at the Fermi energy   0.505 states/eV/atom
Electronic total energy   -4.542 eV per atom
Crystal system   tetragonal
Energy above the lowest structure with this stoichiometry   0 meV per atom
Magnetic moment   0.59 μB/atom

a = 4.8489 Å, b = 4.8489 Å, c = 3.5602 Å
α = 90.00°, β = 90.00°, γ = 90.00°
Space group P4/mmm (No. 123)
Symmetry-distinct sites (fractional):
Mg1 0.0000 0.0000 0.0000 x1
Fe1 0.5000 0.5000 0.5000 x1
P1 0.0000 0.5000 0.5000 x2
O1 0.5000 0.5000 0.0000 x1

=====

[7]
MgFeP2O7 after structural relaxation. Source: Alexandria, functional GGA+U.

Computed properties:
DOS at the Fermi energy   0.000 states/eV/atom
Electronic total energy   -7.057 eV per atom
Crystal system   triclinic
Magnetic moment   0.36 μB/atom

a = 6.2010 Å, b = 6.8145 Å, c = 7.1609 Å
α = 76.85°, β = 65.25°, γ = 80.02°
Space group P-1 (No. 2)
Symmetry-distinct sites (fractional):
Mg1 0.1898 0.1661 0.3886 x2
Fe1 0.4148 0.3046 0.6926 x2
P1 0.1434 0.6379 0.1920 x2
P2 0.2702 0.8159 0.7401 x2
O1 0.0980 0.9204 0.6365 x2
O2 0.1012 0.7511 0.9808 x2
O3 0.1102 0.3222 0.6386 x2
O4 0.2119 0.4166 0.1758 x2
O5 0.3219 0.7511 0.2108 x2
O6 0.4050 0.6269 0.6460 x2
O7 0.4509 0.9560 0.7223 x2

=====

[8]
MgVFeP4O14 after structural relaxation. Source: Alexandria, functional GGA+U.

Computed properties:
DOS at the Fermi energy   0.000 states/eV/atom
Electronic total energy   -7.217 eV per atom
Crystal system   triclinic
Energy above the lowest structure with this stoichiometry   19 meV per atom
Magnetic moment   0.33 μB/atom

a = 5.0214 Å, b = 6.8482 Å, c = 8.3513 Å
α = 90.32°, β = 90.41°, γ = 109.48°
Space group P1 (No. 1)
Symmetry-distinct sites (fractional):
Mg1 0.0000 0.0000 0.0000 x1
V1 0.1888 0.4747 0.8769 x1
Fe1 0.6000 0.9087 0.3986 x1
P1 0.0159 0.6815 0.2011 x1
P2 0.1734 0.1061 0.6080 x1
P3 0.6200 0.2621 0.1086 x1
P4 0.7808 0.6990 0.7087 x1
O1 0.1225 0.7029 0.0263 x1
O2 0.2350 0.6852 0.3261 x1
O3 0.2855 0.3014 0.7075 x1
O4 0.3508 0.2771 0.0282 x1
O5 0.4012 0.0207 0.5565 x1
O6 0.5357 0.0780 0.2180 x1
O7 0.5723 0.6798 0.8480 x1
O8 0.6640 0.6983 0.5416 x1
O9 0.7641 0.4621 0.2166 x1
O10 0.8394 0.2445 0.9829 x1
O11 0.8684 0.8470 0.2131 x1
O12 0.9578 0.5568 0.7208 x1
O13 0.9620 0.1104 0.4787 x1
O14 0.9932 0.9375 0.7505 x1

=====

Density values, unit g cm⁻³, following the record order: 4.5 4.9 6.0 3.5 2.9 3.1 3.2 2.9.